Record 1
Ca2YMo, optimized geometry, DFT PBE-GGA; ΔE to the lowest computed polymorph = 0.2992 eV/atom
1.0
0.000 3.838 3.838
3.838 0.000 3.838
3.838 3.838 0.000
Ca Y Mo
2 1 1
Direct
0.250 0.250 0.250
0.750 0.750 0.750
0.000 0.000 0.000
0.500 0.500 0.500

Record 2
Ta5Mo, optimized geometry, DFT PBE-GGA; ΔE to the lowest computed polymorph = 0.8171 eV/atom
1.0
5.412 0.000 0.000
-2.706 4.687 0.000
0.000 0.000 4.667
Ta Mo
5 1
Direct
0.000 0.500 0.000
0.333 0.667 0.500
0.500 0.000 0.000
0.500 0.500 0.000
0.667 0.333 0.500
0.000 0.000 0.500

Record 3
A plane-wave DFT calculation with PBE-GGA was carried out for SmMgNi10 after structural relaxation.

POSCAR file:
```
SmMgNi10
1.0
3.984 0.000 0.000
0.000 4.817 0.000
0.000 0.000 8.358
Sm Mg Ni
1 1 10
Direct
0.000 0.000 0.000
0.000 0.500 0.500
0.000 0.000 0.342
0.000 0.000 0.658
0.000 0.500 0.180
0.000 0.500 0.820
0.500 0.000 0.500
0.500 0.251 0.255
0.500 0.251 0.745
0.500 0.500 0.000
0.500 0.749 0.255
0.500 0.749 0.745
```

Number 1: formation energy from the elements 2.9 eV per formula unit. Number 2: formation energy from the elements 4.5 eV per formula unit. Number 3: formation energy from the elements -1.8 eV per formula unit.